DFT (PBE-GGA) results for a geometry-optimized TbNdIrRh structure.

```
TbNdIrRh
1.0
-1.9822 -3.5645 2.7898
-0.3948 -4.5948 -1.7749
2.8605 -3.6012 1.8075
Tb Rh Ir Nd
1 1 1 1
direct
0.7500 0.7500 0.7500
0.5000 0.5000 0.5000
0.0000 0.0000 0.0000
0.2500 0.2500 0.2500
```

Results
Density, g/cm³: 11.644
Raw total energy, eV per formula unit: -28.48
DFT formation energy, meV/atom: -717